A plane-wave DFT calculation with PBE was carried out for a relaxed structure of ZrCd2Hg.

Lattice parameters (Å, degrees): 3.0843 4.8019 6.0353 90.00 99.29 90.00
Last column: nearest neighbours and their distance in Å.
Sites, in units of the cell vectors:
Zr 0.0000 0.0000 0.0000  2 Zr 3.08, 8 Cd 3.15-3.25, 2 Hg 3.16
Cd 0.3892 0.5000 0.7569  3 Cd 2.90-3.08, 2 Hg 2.91, 2 Zr 3.15
Cd 0.6108 0.5000 0.2431  3 Cd 2.90-3.08, 2 Hg 2.91, 2 Zr 3.15
Hg 0.5000 0.0000 0.5000  4 Cd 2.91, 2 Hg 3.08, 2 Zr 3.16

Properties
Space-group type   P2/m
D(E_F)   0.627 states/eV/atom
Formation enthalpy at 0 K   -0.029 eV/atom